Entry 1:
PmTm4Sn2: optimized geometry, PBE.

Computed properties:
- Energy of formation: -159 meV per atom

Unit cell a=4.9917 b=4.9917 c=31.2679 alpha=90.00 beta=90.00 gamma=120.00
Space group R-3m (No. 166, hexagonal axes)
Asymmetric unit:
Pm 0.0000 0.0000 0.0000 (multiplicity 3)
Tm 0.0000 0.0000 0.2015 (multiplicity 6)
Tm 0.0000 0.0000 0.3926 (multiplicity 6)
Sn 0.0000 0.0000 0.1016 (multiplicity 6)

***

Entry 2:
Pm3TmSn4: optimized geometry, PBE.

Computed properties:
- Energy of formation: -517 meV per atom

Unit cell a=12.591 b=6.311 c=6.312 alpha=90.00 beta=90.00 gamma=90.00
Space group Pmn2_1 (No. 31)
Asymmetric unit:
Pm 0.000 0.243 0.000 (multiplicity 2)
Pm 0.250 0.251 0.500 (multiplicity 4)
Tm 0.000 0.744 0.501 (multiplicity 2)
Sn 0.000 0.244 0.500 (multiplicity 2)
Sn 0.000 0.743 0.001 (multiplicity 2)
Sn 0.247 0.751 0.500 (multiplicity 4)

***

Entry 3:
Pm3TmSn: optimized geometry, PBE.

Computed properties:
- Energy of formation: 13 meV per atom

Unit cell a=9.212 b=12.960 c=5.869 alpha=90.00 beta=90.00 gamma=90.00
Space group Cmcm (No. 63)
Asymmetric unit:
Pm 0.000 0.000 0.000 (multiplicity 4)
Pm 0.164 0.311 0.250 (multiplicity 8)
Tm 0.000 0.445 0.750 (multiplicity 4)
Sn 0.000 0.217 0.750 (multiplicity 4)

***

Entry 4:
PmTmSn: optimized geometry, PBE.

Computed properties:
- Energy of formation: 565 meV per atom
- Polymorph energy (0 for the lowest one): 1177 meV/atom

Unit cell a=8.557 b=9.405 c=5.863 alpha=90.00 beta=90.00 gamma=90.00
Space group Cmmm (No. 65)
Asymmetric unit:
Pm 0.000 0.000 0.000 (multiplicity 2)
Pm 0.000 0.500 0.500 (multiplicity 2)
Tm 0.000 0.167 0.500 (multiplicity 4)
Sn 0.159 0.500 0.000 (multiplicity 4)

***

Entry 5:
Pm4Tm5Sn2: optimized geometry, PBE.

Computed properties:
- Energy of formation: 92 meV per atom

Unit cell a=5.1968 b=5.1968 c=47.1527 alpha=90.00 beta=90.00 gamma=120.00
Space group R-3m (No. 166, hexagonal axes)
Asymmetric unit:
Pm 0.0000 0.0000 0.0715 (multiplicity 6)
Pm 0.0000 0.0000 0.2247 (multiplicity 6)
Tm 0.0000 0.0000 0.0000 (multiplicity 3)
Tm 0.0000 0.0000 0.1480 (multiplicity 6)
Tm 0.0000 0.0000 0.3032 (multiplicity 6)
Sn 0.0000 0.0000 0.3738 (multiplicity 6)

***

Entry 6:
Pm2TmSn4: optimized geometry, PBE.

Computed properties:
- Energy of formation: -470 meV per atom

Unit cell a=7.120 b=7.871 c=7.895 alpha=90.33 beta=101.27 gamma=100.81
Space group P-1 (No. 2)
Asymmetric unit:
Pm 0.000 0.000 0.000 (multiplicity 1)
Pm 0.000 0.000 0.500 (multiplicity 1)
Pm 0.500 0.000 0.000 (multiplicity 1)
Pm 0.500 0.500 0.000 (multiplicity 1)
Tm 0.250 0.527 0.474 (multiplicity 2)
Sn 0.075 0.327 0.779 (multiplicity 2)
Sn 0.144 0.718 0.780 (multiplicity 2)
Sn 0.354 0.221 0.281 (multiplicity 2)
Sn 0.427 0.220 0.672 (multiplicity 2)

***

Entry 7:
Pm3Tm7Sn2: optimized geometry, PBE.

Computed properties:
- Energy of formation: -141 meV per atom

Unit cell a=5.564 b=3.613 c=18.184 alpha=90.00 beta=93.77 gamma=90.00
Space group P2/m (No. 10)
Asymmetric unit:
Pm 0.000 0.000 0.000 (multiplicity 1)
Pm 0.279 0.500 0.640 (multiplicity 2)
Tm 0.174 0.500 0.150 (multiplicity 2)
Tm 0.241 0.000 0.459 (multiplicity 2)
Tm 0.323 0.000 0.830 (multiplicity 2)
Tm 0.500 0.500 0.000 (multiplicity 1)
Sn 0.205 0.000 0.292 (multiplicity 2)

***

Entry 8:
PmTmZnSn: optimized geometry, PBE.

Computed properties:
- Energy of formation: -489 meV per atom

Unit cell a=7.377 b=7.377 c=7.377 alpha=90.00 beta=90.00 gamma=90.00
Space group F-43m (No. 216)
Asymmetric unit:
Pm 0.000 0.000 0.000 (multiplicity 4)
Tm 0.000 0.000 0.500 (multiplicity 4)
Zn 0.250 0.250 0.750 (multiplicity 4)
Sn 0.250 0.250 0.250 (multiplicity 4)

***

Entry 9:
Pm2TmZn2Sn2: optimized geometry, PBE.

Computed properties:
- Energy of formation: -335 meV per atom

Unit cell a=4.6860 b=4.6860 c=27.9395 alpha=90.00 beta=90.00 gamma=120.00
Space group R-3m (No. 166, hexagonal axes)
Asymmetric unit:
Pm 0.0000 0.0000 0.1288 (multiplicity 6)
Tm 0.0000 0.0000 0.0000 (multiplicity 3)
Zn 0.0000 0.0000 0.4119 (multiplicity 6)
Sn 0.0000 0.0000 0.2712 (multiplicity 6)

***

Entry 10:
PmU2Sn9: optimized geometry, PBE.

Computed properties:
- Energy of formation: -248 meV per atom

Unit cell a=4.663 b=4.663 c=14.068 alpha=90.00 beta=90.00 gamma=90.00
Space group P4/mmm (No. 123)
Asymmetric unit:
Pm 0.000 0.000 0.000 (multiplicity 1)
U 0.000 0.000 0.338 (multiplicity 2)
Sn 0.000 0.500 0.173 (multiplicity 4)
Sn 0.000 0.500 0.500 (multiplicity 2)
Sn 0.500 0.500 0.000 (multiplicity 1)
Sn 0.500 0.500 0.336 (multiplicity 2)

***

Entry 11:
Pm3USn6: optimized geometry, PBE.

Computed properties:
- Energy of formation: -447 meV per atom

Unit cell a=8.545 b=7.411 c=10.019 alpha=90.00 beta=114.84 gamma=90.00
Space group P2_1/c (No. 14)
Asymmetric unit:
Pm 0.000 0.000 0.000 (multiplicity 2)
Pm 0.250 0.031 0.500 (multiplicity 4)
U 0.500 0.000 0.000 (multiplicity 2)
Sn 0.108 0.141 0.747 (multiplicity 4)
Sn 0.251 0.749 0.752 (multiplicity 4)
Sn 0.401 0.149 0.256 (multiplicity 4)

***

Entry 12:
Pm2USn: optimized geometry, PBE.

Computed properties:
- Energy of formation: 262 meV per atom

Unit cell a=3.2687 b=3.2687 c=36.3146 alpha=90.00 beta=90.00 gamma=120.00
Space group R-3m (No. 166, hexagonal axes)
Asymmetric unit:
Pm 0.0000 0.0000 0.0905 (multiplicity 6)
U 0.0000 0.0000 0.0000 (multiplicity 3)
Sn 0.0000 0.0000 0.5000 (multiplicity 3)

***

Entry 13:
PmUSn6: optimized geometry, PBE.

Computed properties:
- Energy of formation: -308 meV per atom

Unit cell a=4.687 b=4.687 c=9.411 alpha=90.00 beta=90.00 gamma=90.00
Space group P4/mmm (No. 123)
Asymmetric unit:
Pm 0.000 0.000 0.000 (multiplicity 1)
U 0.000 0.000 0.500 (multiplicity 1)
Sn 0.000 0.500 0.256 (multiplicity 4)
Sn 0.500 0.500 0.000 (multiplicity 1)
Sn 0.500 0.500 0.500 (multiplicity 1)

***

Entry 14:
Pm6VSn10: optimized geometry, PBE.

Computed properties:
- Energy of formation: -505 meV per atom

Unit cell a=9.3024 b=9.3024 c=6.2068 alpha=90.00 beta=90.00 gamma=120.00
Space group P-31m (No. 162)
Asymmetric unit:
Pm 0.0000 0.3888 0.2551 (multiplicity 6)
V 0.0000 0.0000 0.5000 (multiplicity 1)
Sn 0.0000 0.2232 0.7843 (multiplicity 6)
Sn 0.3333 0.6667 0.0000 (multiplicity 2)
Sn 0.3333 0.6667 0.5000 (multiplicity 2)

***

Entry 15:
PmVSn2: optimized geometry, PBE.

Computed properties:
- Energy of formation: 360 meV per atom

Unit cell a=3.3506 b=3.3506 c=33.2035 alpha=90.00 beta=90.00 gamma=120.00
Space group R-3m (No. 166, hexagonal axes)
Asymmetric unit:
Pm 0.0000 0.0000 0.0000 (multiplicity 3)
V 0.0000 0.0000 0.5000 (multiplicity 3)
Sn 0.0000 0.0000 0.4168 (multiplicity 6)

***

Entry 16:
PmVSn: optimized geometry, PBE.

Computed properties:
- Energy of formation: -254 meV per atom

Unit cell a=4.184 b=4.184 c=8.145 alpha=90.00 beta=90.00 gamma=90.00
Space group P4/nmm (No. 129, origin choice 2)
Asymmetric unit:
Pm 0.250 0.250 0.153 (multiplicity 2)
V 0.250 0.750 0.500 (multiplicity 2)
Sn 0.250 0.250 0.726 (multiplicity 2)

***

Entry 17:
PmSn2W: optimized geometry, PBE.

Computed properties:
- Energy of formation: 614 meV per atom

Unit cell a=3.1452 b=3.1452 c=33.7980 alpha=90.00 beta=90.00 gamma=120.00
Space group R-3m (No. 166, hexagonal axes)
Asymmetric unit:
Pm 0.0000 0.0000 0.0000 (multiplicity 3)
Sn 0.0000 0.0000 0.4171 (multiplicity 6)
W 0.0000 0.0000 0.5000 (multiplicity 3)

***

Entry 18:
PmSnW: optimized geometry, PBE.

Computed properties:
- Energy of formation: 493 meV per atom

Unit cell a=3.449 b=3.449 c=13.394 alpha=82.70 beta=82.64 gamma=89.99
Space group P-1 (No. 2)
Asymmetric unit:
Pm 0.183 0.181 0.134 (multiplicity 2)
Sn 0.055 0.053 0.389 (multiplicity 2)
W 0.393 0.394 0.716 (multiplicity 2)

***

Entry 19:
Pm4YSn5: optimized geometry, PBE.

Computed properties:
- Energy of formation: -674 meV per atom

Unit cell a=3.512 b=3.512 c=22.533 alpha=90.00 beta=90.00 gamma=90.00
Space group P4/mmm (No. 123)
Asymmetric unit:
Pm 0.000 0.000 0.101 (multiplicity 2)
Pm 0.000 0.000 0.302 (multiplicity 2)
Y 0.000 0.000 0.500 (multiplicity 1)
Sn 0.500 0.500 0.000 (multiplicity 1)
Sn 0.500 0.500 0.201 (multiplicity 2)
Sn 0.500 0.500 0.403 (multiplicity 2)

***

Entry 20:
Pm5Y2Sn4: optimized geometry, PBE.

Computed properties:
- Energy of formation: -137 meV per atom

Unit cell a=22.865 b=3.644 c=8.288 alpha=90.00 beta=94.91 gamma=90.00
Space group C2/m (No. 12)
Asymmetric unit:
Pm 0.000 0.000 0.000 (multiplicity 2)
Pm 0.125 0.500 0.042 (multiplicity 4)
Pm 0.173 0.500 0.478 (multiplicity 4)
Y 0.226 0.000 0.825 (multiplicity 4)
Sn 0.029 0.500 0.341 (multiplicity 4)
Sn 0.089 0.000 0.706 (multiplicity 4)